Here is crystalline La8SiSe4Cl3 at its relaxed geometry from Alexandria via LeMat-Bulk. Energies are from GGA-PBE. Values from VASP.

Geometry as Quantum ESPRESSO input:
```
&SYSTEM
  ibrav = 0, nat = 16, ntyp = 4
/
ATOMIC_SPECIES
Cl 35.45 Cl.upf
La 138.91 La.upf
Se 78.96 Se.upf
Si 28.09 Si.upf
ATOMIC_POSITIONS angstrom
Cl 4.276 4.277 -0.003
La 2.194 -2.103 6.032
Se 2.138 -2.136 3.026
Cl -2.138 2.141 3.023
La 6.471 6.384 0.014
La 2.082 6.384 0.014
La 0.000 -0.029 3.001
La 0.000 4.305 2.959
La -2.194 -2.103 6.032
Cl 2.138 2.141 3.023
Se 4.276 0.000 0.000
Se 0.000 0.000 0.000
La 4.276 -0.023 3.087
La 4.276 4.311 3.046
Si 0.000 4.277 -0.003
Se -2.138 -2.136 3.026
CELL_PARAMETERS angstrom
8.552 0.000 0.000
0.000 8.554 -0.006
-4.276 -4.273 6.052
```

Values from the calculation:
* E_form (uncorrected): -1.714 eV per atom
* E_tot: -5.73 eV per atom
* spin magnetization: 0.00 μB/f.u.
* D(E_F): 0.67 states/eV/atom

***

Here is crystalline La3SnSeCl at its relaxed geometry from Alexandria via LeMat-Bulk. Energies are from GGA-PBE. Values from VASP.

Geometry as Quantum ESPRESSO input:
```
&SYSTEM
  ibrav = 0, nat = 12, ntyp = 4
/
ATOMIC_SPECIES
Sn 118.71 Sn.upf
Cl 35.45 Cl.upf
Se 78.96 Se.upf
La 138.91 La.upf
ATOMIC_POSITIONS angstrom
Sn 1.129 1.324 2.457
Cl 3.387 5.665 3.274
Se 1.129 5.324 0.584
La 3.387 3.402 1.297
Se 3.387 -0.423 8.861
Cl 1.129 -0.765 6.171
La 1.129 4.138 4.589
La 1.129 -2.364 9.193
La 3.387 7.264 0.251
La 3.387 0.762 4.856
La 1.129 1.498 8.148
Sn 3.387 3.576 6.988
CELL_PARAMETERS angstrom
4.516 0.000 0.000
0.000 8.161 -1.021
0.000 -3.261 10.466
```

Values from the calculation:
* E_form (uncorrected): -1.413 eV per atom
* E_tot: -5.43 eV per atom
* spin magnetization: 0.35 μB/f.u.
* D(E_F): 0.58 states/eV/atom

***

Here is crystalline SrLaSeCl2 at its relaxed geometry from Alexandria via LeMat-Bulk. Energies are from GGA-PBE. Values from VASP.

Geometry as Quantum ESPRESSO input:
```
&SYSTEM
  ibrav = 0, nat = 5, ntyp = 4
/
ATOMIC_SPECIES
La 138.91 La.upf
Cl 35.45 Cl.upf
Sr 87.62 Sr.upf
Se 78.96 Se.upf
ATOMIC_POSITIONS angstrom
La 0.000 0.000 0.000
Cl 2.763 0.000 0.000
Sr 2.763 2.943 2.763
Se 0.000 2.943 0.000
Cl 0.000 0.000 2.763
CELL_PARAMETERS angstrom
5.526 0.000 0.000
0.000 5.886 0.000
0.000 0.000 5.526
```

Values from the calculation:
* E_form (uncorrected): -1.710 eV per atom
* E_tot: -4.47 eV per atom
* spin magnetization: 0.00 μB/f.u.
* D(E_F): 1.04 states/eV/atom

***

Here is crystalline LaTeSeCl2 at its relaxed geometry from Alexandria via LeMat-Bulk. Energies are from GGA-PBE. Values from VASP.

Geometry as Quantum ESPRESSO input:
```
&SYSTEM
  ibrav = 0, nat = 5, ntyp = 4
/
ATOMIC_SPECIES
La 138.91 La.upf
Cl 35.45 Cl.upf
Te 127.60 Te.upf
Se 78.96 Se.upf
ATOMIC_POSITIONS angstrom
La 0.000 3.277 0.000
Cl 0.000 0.000 2.533
Te 0.000 0.000 0.000
Cl 2.533 0.000 0.000
Se 2.533 3.277 2.533
CELL_PARAMETERS angstrom
5.065 0.000 0.000
0.000 6.554 0.000
0.000 0.000 5.065
```

Values from the calculation:
* E_form (uncorrected): -0.633 eV per atom
* E_tot: -3.68 eV per atom
* spin magnetization: 0.00 μB/f.u.
* D(E_F): 0.29 states/eV/atom

***

Here is crystalline LaTiSeCl2 at its relaxed geometry from Alexandria via LeMat-Bulk. Energies are from GGA-PBE. Values from VASP.

Geometry as Quantum ESPRESSO input:
```
&SYSTEM
  ibrav = 0, nat = 5, ntyp = 4
/
ATOMIC_SPECIES
Cl 35.45 Cl.upf
La 138.91 La.upf
Se 78.96 Se.upf
Ti 47.87 Ti.upf
ATOMIC_POSITIONS angstrom
Cl 0.000 0.000 2.363
Cl 2.363 0.000 0.000
La 2.363 2.620 2.363
Se 0.000 2.620 0.000
Ti 0.000 0.000 0.000
CELL_PARAMETERS angstrom
4.726 0.000 0.000
0.000 5.239 0.000
0.000 0.000 4.726
```

Values from the calculation:
* E_form (uncorrected): -1.275 eV per atom
* E_tot: -5.28 eV per atom
* spin magnetization: 1.78 μB/f.u.
* D(E_F): 1.24 states/eV/atom

***

Here is crystalline La4TlSe2Cl at its relaxed geometry from Alexandria via LeMat-Bulk. Energies are from GGA-PBE. Values from VASP.

Geometry as Quantum ESPRESSO input:
```
&SYSTEM
  ibrav = 0, nat = 16, ntyp = 4
/
ATOMIC_SPECIES
Se 78.96 Se.upf
La 138.91 La.upf
Tl 204.38 Tl.upf
Cl 35.45 Cl.upf
ATOMIC_POSITIONS angstrom
Se 2.240 -2.149 3.103
La -2.019 -2.122 6.115
Tl -0.002 4.388 0.042
La 0.061 -0.040 3.151
Se 4.388 0.002 0.042
Se -2.149 -2.150 3.061
La 4.415 4.520 3.137
La 2.279 6.630 0.178
Cl 4.479 -4.297 6.205
La 0.090 4.520 3.239
La 4.386 -0.041 3.050
Cl 2.238 2.240 3.144
La 6.495 6.601 0.173
Se 4.387 4.390 0.083
La 2.197 -2.151 6.111
Tl 6.626 2.241 3.186
CELL_PARAMETERS angstrom
8.777 0.003 0.083
-0.003 8.777 0.083
-4.297 -4.300 6.122
```

Values from the calculation:
* E_form (uncorrected): -1.466 eV per atom
* E_tot: -5.33 eV per atom
* spin magnetization: 0.00 μB/f.u.
* D(E_F): 0.66 states/eV/atom

***

Here is crystalline La2VSeCl at its relaxed geometry from Alexandria via LeMat-Bulk. Energies are from GGA-PBE. Values from VASP.

Geometry as Quantum ESPRESSO input:
```
&SYSTEM
  ibrav = 0, nat = 5, ntyp = 4
/
ATOMIC_SPECIES
Se 78.96 Se.upf
La 138.91 La.upf
V 50.94 V.upf
Cl 35.45 Cl.upf
ATOMIC_POSITIONS angstrom
Se 0.884 2.410 3.592
La -0.754 2.543 0.510
V 0.000 0.000 0.000
La 2.414 0.494 1.104
Cl -0.776 -0.627 1.977
CELL_PARAMETERS angstrom
-1.507 5.085 1.020
-1.553 -1.253 3.955
4.829 0.988 2.209
```

Values from the calculation:
* E_form (uncorrected): -0.619 eV per atom
* E_tot: -5.48 eV per atom
* spin magnetization: 0.00 μB/f.u.
* D(E_F): 0.67 states/eV/atom

***

Here is crystalline LaVSeCl2 at its relaxed geometry from Alexandria via LeMat-Bulk. Energies are from GGA-PBE. Values from VASP.

Geometry as Quantum ESPRESSO input:
```
&SYSTEM
  ibrav = 0, nat = 5, ntyp = 4
/
ATOMIC_SPECIES
V 50.94 V.upf
Cl 35.45 Cl.upf
La 138.91 La.upf
Se 78.96 Se.upf
ATOMIC_POSITIONS angstrom
V 0.000 2.257 0.000
Cl 2.936 0.000 0.000
Cl 0.000 0.000 2.936
La 2.936 2.257 2.936
Se 0.000 0.000 0.000
CELL_PARAMETERS angstrom
5.873 0.000 0.000
0.000 4.514 0.000
0.000 0.000 5.873
```

Values from the calculation:
* E_form (uncorrected): -0.099 eV per atom
* E_tot: -4.34 eV per atom
* spin magnetization: 4.11 μB/f.u.
* D(E_F): 0.97 states/eV/atom

***

Here is crystalline La2WSeCl at its relaxed geometry from Alexandria via LeMat-Bulk. Energies are from GGA-PBE. Values from VASP.

Geometry as Quantum ESPRESSO input:
```
&SYSTEM
  ibrav = 0, nat = 5, ntyp = 4
/
ATOMIC_SPECIES
Se 78.96 Se.upf
La 138.91 La.upf
Cl 35.45 Cl.upf
W 183.84 W.upf
ATOMIC_POSITIONS angstrom
Se -3.316 -2.408 -1.979
La -1.791 -1.713 1.225
Cl 0.496 -1.645 -1.575
W 0.000 0.000 0.000
La -2.022 0.950 -1.628
CELL_PARAMETERS angstrom
-4.044 1.899 -3.256
0.992 -3.290 -3.151
-3.581 -3.426 2.449
```

Values from the calculation:
* E_form (uncorrected): -0.315 eV per atom
* E_tot: -5.94 eV per atom
* spin magnetization: 0.00 μB/f.u.
* D(E_F): 0.69 states/eV/atom

***

Here is crystalline La4ZnSeCl2 at its relaxed geometry from Alexandria via LeMat-Bulk. Energies are from GGA-PBE. Values from VASP.

Geometry as Quantum ESPRESSO input:
```
&SYSTEM
  ibrav = 0, nat = 8, ntyp = 4
/
ATOMIC_SPECIES
La 138.91 La.upf
Cl 35.45 Cl.upf
Se 78.96 Se.upf
Zn 65.41 Zn.upf
ATOMIC_POSITIONS angstrom
La 2.130 6.089 1.747
La 4.259 2.449 1.786
Cl 2.130 1.319 3.576
La 2.130 3.773 5.358
Cl 0.000 2.638 7.153
La 0.000 7.412 5.320
Se 0.000 4.931 3.553
Zn 2.130 3.612 -0.024
CELL_PARAMETERS angstrom
4.259 0.000 0.000
0.000 7.224 -0.048
0.000 2.638 7.153
```

Values from the calculation:
* E_form (uncorrected): -1.340 eV per atom
* E_tot: -4.86 eV per atom
* spin magnetization: 0.00 μB/f.u.
* D(E_F): 0.88 states/eV/atom

***

Here is crystalline La6SiCl8 at its relaxed geometry from Alexandria via LeMat-Bulk. Energies are from GGA-PBE. Values from VASP.

Geometry as Quantum ESPRESSO input:
```
&SYSTEM
  ibrav = 0, nat = 15, ntyp = 3
/
ATOMIC_SPECIES
Cl 35.45 Cl.upf
La 138.91 La.upf
Si 28.09 Si.upf
ATOMIC_POSITIONS angstrom
Cl 6.887 1.404 6.138
La 4.810 5.859 4.556
La 1.705 2.445 10.223
Cl 6.649 4.116 3.022
Cl 6.856 2.794 10.182
Cl 6.670 5.538 6.907
La 5.025 4.602 11.753
Cl 3.499 0.756 8.665
Cl 3.282 4.890 9.434
La 8.464 3.849 5.348
Cl 3.313 3.500 5.390
Si 0.000 0.000 0.000
La 5.144 1.692 3.819
Cl 3.520 2.178 12.550
La 5.359 0.435 11.015
CELL_PARAMETERS angstrom
6.898 0.000 2.266
3.077 6.174 2.266
0.194 0.120 11.040
```

Values from the calculation:
* E_form (uncorrected): -1.847 eV per atom
* E_tot: -5.16 eV per atom
* spin magnetization: 0.00 μB/f.u.
* D(E_F): 0.51 states/eV/atom

***

Here is crystalline LaSi2Cl at its relaxed geometry from Alexandria via LeMat-Bulk. Energies are from GGA-PBE. Values from VASP.

Geometry as Quantum ESPRESSO input:
```
&SYSTEM
  ibrav = 0, nat = 4, ntyp = 3
/
ATOMIC_SPECIES
Cl 35.45 Cl.upf
Si 28.09 Si.upf
La 138.91 La.upf
ATOMIC_POSITIONS angstrom
Cl 0.000 0.000 4.843
Si 1.713 1.722 1.138
Si 0.000 0.000 0.245
La 1.713 1.722 6.569
CELL_PARAMETERS angstrom
3.436 0.007 0.000
-0.009 3.436 0.000
0.000 0.000 8.530
```

Values from the calculation:
* E_form (uncorrected): -0.571 eV per atom
* E_tot: -4.98 eV per atom
* spin magnetization: 0.00 μB/f.u.
* D(E_F): 0.92 states/eV/atom

***

The highest spin magnetization belongs to which entry? LaVSeCl2

***

Which value of E_form (uncorrected) does entry 1 give? -1.714 eV per atom

***

What is the formula in the first record? La8SiSe4Cl3

***

Please write out number 7 again, unchanged.
Here is crystalline La2VSeCl at its relaxed geometry from Alexandria via LeMat-Bulk. Energies are from GGA-PBE. Values from VASP.

Geometry as Quantum ESPRESSO input:
```
&SYSTEM
  ibrav = 0, nat = 5, ntyp = 4
/
ATOMIC_SPECIES
Se 78.96 Se.upf
La 138.91 La.upf
V 50.94 V.upf
Cl 35.45 Cl.upf
ATOMIC_POSITIONS angstrom
Se 0.884 2.410 3.592
La -0.754 2.543 0.510
V 0.000 0.000 0.000
La 2.414 0.494 1.104
Cl -0.776 -0.627 1.977
CELL_PARAMETERS angstrom
-1.507 5.085 1.020
-1.553 -1.253 3.955
4.829 0.988 2.209
```

Values from the calculation:
* E_form (uncorrected): -0.619 eV per atom
* E_tot: -5.48 eV per atom
* spin magnetization: 0.00 μB/f.u.
* D(E_F): 0.67 states/eV/atom